# MnCuW3, optimized geometry, DFT PBEsol
# - N(E_F): 0.882 states/eV per atom
# - ΔE to the lowest computed polymorph: 0 meV per atom
# - E_tot: -47.640 eV per cell
data_MnCuW3
_cell_length_a 4.396
_cell_length_b 4.396
_cell_length_c 4.396
_cell_angle_alpha 90.00
_cell_angle_beta 90.00
_cell_angle_gamma 90.00
_space_group_name_H-M_alt 'P m -3 m'
_space_group_IT_number 221
_space_group_name_Hall '-P 4 2 3'
loop_
_atom_site_label
_atom_site_type_symbol
_atom_site_fract_x
_atom_site_fract_y
_atom_site_fract_z
Mn1 Mn 0.000 0.000 0.000
Cu1 Cu 0.500 0.500 0.500
W1 W 0.000 0.000 0.500

# Y2BiH2, optimized geometry, DFT PBEsol
# - N(E_F): 0.390 states/eV per atom
# - E_tot: -56.739 eV per cell
data_Y2BiH2
_cell_length_a 3.898
_cell_length_b 3.898
_cell_length_c 11.461
_cell_angle_alpha 90.00
_cell_angle_beta 90.00
_cell_angle_gamma 90.00
_space_group_name_H-M_alt 'I 4/m m m'
_space_group_IT_number 139
_space_group_name_Hall '-I 4 2'
loop_
_atom_site_label
_atom_site_type_symbol
_atom_site_fract_x
_atom_site_fract_y
_atom_site_fract_z
Y1 Y 0.000 0.000 0.150
Bi1 Bi 0.000 0.000 0.500
H1 H 0.000 0.500 0.250

# Fe3Ir, optimized geometry, DFT PBEsol
# - N(E_F): 1.185 states/eV per atom
# - E_tot: -73.916 eV per cell
data_Fe3Ir
_cell_length_a 3.988
_cell_length_b 5.026
_cell_length_c 4.387
_cell_angle_alpha 90.00
_cell_angle_beta 90.00
_cell_angle_gamma 90.00
_space_group_name_H-M_alt 'P m m n'
_space_group_IT_number 59
loop_
_space_group_symop_operation_xyz
'x,y,z'
'-x,-y,-z'
'-x+1/2,-y+1/2,z'
'x+1/2,y+1/2,-z'
'x+1/2,-y,-z'
'-x+1/2,y,z'
'-x,y+1/2,-z'
'x,-y+1/2,z'
loop_
_atom_site_label
_atom_site_type_symbol
_atom_site_fract_x
_atom_site_fract_y
_atom_site_fract_z
Fe1 Fe 0.250 0.002 0.159
Fe2 Fe 0.250 0.750 0.678
Ir1 Ir 0.250 0.250 0.664

# ZrTcClF2, optimized geometry, DFT PBEsol
# - N(E_F): 0.454 states/eV per atom
# - E_tot: -31.758 eV per cell
# - ΔE_f (raw): -1.108 eV/atom
data_ZrTcClF2
_cell_length_a 3.945
_cell_length_b 3.945
_cell_length_c 5.096
_cell_angle_alpha 90.00
_cell_angle_beta 90.00
_cell_angle_gamma 90.00
_space_group_name_H-M_alt 'P 4/m m m'
_space_group_IT_number 123
_space_group_name_Hall '-P 4 2'
loop_
_atom_site_label
_atom_site_type_symbol
_atom_site_fract_x
_atom_site_fract_y
_atom_site_fract_z
Zr1 Zr 0.000 0.000 0.000
Tc1 Tc 0.000 0.000 0.500
Cl1 Cl 0.500 0.500 0.000
F1 F 0.000 0.500 0.500

# SrGa2Sn2, optimized geometry, DFT PBEsol
# - N(E_F): 0.365 states/eV per atom
# - E_tot: -37.181 eV per cell
data_SrGa2Sn2
_cell_length_a 5.014
_cell_length_b 5.014
_cell_length_c 10.363
_cell_angle_alpha 90.00
_cell_angle_beta 90.00
_cell_angle_gamma 90.00
_space_group_name_H-M_alt 'I 4/m m m'
_space_group_IT_number 139
_space_group_name_Hall '-I 4 2'
loop_
_atom_site_label
_atom_site_type_symbol
_atom_site_fract_x
_atom_site_fract_y
_atom_site_fract_z
Sr1 Sr 0.000 0.000 0.000
Ga1 Ga 0.000 0.500 0.250
Sn1 Sn 0.000 0.000 0.363

# Re3Sb, optimized geometry, DFT PBEsol
# - N(E_F): 0.902 states/eV per atom
# - ΔE to the lowest computed polymorph: 229 meV per atom
# - E_tot: -168.141 eV per cell
# - ΔE_f (raw): 0.630 eV/atom
data_Re3Sb
_cell_length_a 6.315
_cell_length_b 6.315
_cell_length_c 6.315
_cell_angle_alpha 90.00
_cell_angle_beta 90.00
_cell_angle_gamma 90.00
_space_group_name_H-M_alt 'F m -3 m'
_space_group_IT_number 225
_space_group_name_Hall '-F 4 2 3'
loop_
_atom_site_label
_atom_site_type_symbol
_atom_site_fract_x
_atom_site_fract_y
_atom_site_fract_z
Re1 Re 0.000 0.000 0.000
Re2 Re 0.250 0.250 0.250
Sb1 Sb 0.000 0.000 0.500

# Ta2TlHg, optimized geometry, DFT PBEsol
# - N(E_F): 0.353 states/eV per atom
# - E_tot: -26.759 eV per cell
data_Ta2TlHg
_cell_length_a 4.118
_cell_length_b 4.118
_cell_length_c 4.435
_cell_angle_alpha 90.00
_cell_angle_beta 90.00
_cell_angle_gamma 90.00
_space_group_name_H-M_alt 'P 4/m m m'
_space_group_IT_number 123
_space_group_name_Hall '-P 4 2'
loop_
_atom_site_label
_atom_site_type_symbol
_atom_site_fract_x
_atom_site_fract_y
_atom_site_fract_z
Ta1 Ta 0.000 0.500 0.000
Tl1 Tl 0.000 0.000 0.500
Hg1 Hg 0.500 0.500 0.500

# SrTl3, optimized geometry, DFT PBEsol
# - N(E_F): 0.492 states/eV per atom
# - E_tot: -10.611 eV per cell
data_SrTl3
_cell_length_a 3.696
_cell_length_b 5.350
_cell_length_c 6.122
_cell_angle_alpha 90.00
_cell_angle_beta 97.67
_cell_angle_gamma 90.00
_space_group_name_H-M_alt 'P 1 2/m 1'
_space_group_IT_number 10
loop_
_space_group_symop_operation_xyz
'x,y,z'
'-x,-y,-z'
'-x,y,-z'
'x,-y,z'
loop_
_atom_site_label
_atom_site_type_symbol
_atom_site_fract_x
_atom_site_fract_y
_atom_site_fract_z
Sr1 Sr 0.000 0.000 0.000
Tl1 Tl 0.304 0.500 0.735
Tl2 Tl 0.500 0.000 0.500

# YZrAg2Ru, optimized geometry, DFT PBEsol
# - N(E_F): 1.111 states/eV per atom
# - E_tot: -23.888 eV per cell
data_YZrAg2Ru
_cell_length_a 4.930
_cell_length_b 4.930
_cell_length_c 5.251
_cell_angle_alpha 90.00
_cell_angle_beta 90.00
_cell_angle_gamma 90.00
_space_group_name_H-M_alt 'P 4/m m m'
_space_group_IT_number 123
_space_group_name_Hall '-P 4 2'
loop_
_atom_site_label
_atom_site_type_symbol
_atom_site_fract_x
_atom_site_fract_y
_atom_site_fract_z
Y1 Y 0.000 0.000 0.000
Zr1 Zr 0.000 0.000 0.500
Ag1 Ag 0.000 0.500 0.500
Ru1 Ru 0.500 0.500 0.000

# Al2InSb, optimized geometry, DFT PBEsol
# - N(E_F): 0.477 states/eV per atom
# - ΔE to the lowest computed polymorph: 0 meV per atom
# - E_tot: -30.336 eV per cell
# - ΔE_f (raw): 0.139 eV/atom
data_Al2InSb
_cell_length_a 4.324
_cell_length_b 4.531
_cell_length_c 8.794
_cell_angle_alpha 90.00
_cell_angle_beta 90.00
_cell_angle_gamma 90.00
_space_group_name_H-M_alt 'C m m 2'
_space_group_IT_number 35
loop_
_space_group_symop_operation_xyz
'x,y,z'
'-x,-y,z'
'-x,y,z'
'x,-y,z'
'x+1/2,y+1/2,z'
'-x+1/2,-y+1/2,z'
'-x+1/2,y+1/2,z'
'x+1/2,-y+1/2,z'
loop_
_atom_site_label
_atom_site_type_symbol
_atom_site_fract_x
_atom_site_fract_y
_atom_site_fract_z
Al1 Al 0.000 0.000 0.000
Al2 Al 0.000 0.500 0.197
In1 In 0.000 0.500 0.751
Sb1 Sb 0.000 0.000 0.444

# RbHfNb2Ga, optimized geometry, DFT PBEsol
# - N(E_F): 1.047 states/eV per atom
# - E_tot: -29.587 eV per cell
data_RbHfNb2Ga
_cell_length_a 5.006
_cell_length_b 5.006
_cell_length_c 5.441
_cell_angle_alpha 90.00
_cell_angle_beta 90.00
_cell_angle_gamma 90.00
_space_group_name_H-M_alt 'P 4/m m m'
_space_group_IT_number 123
_space_group_name_Hall '-P 4 2'
loop_
_atom_site_label
_atom_site_type_symbol
_atom_site_fract_x
_atom_site_fract_y
_atom_site_fract_z
Rb1 Rb 0.000 0.000 0.000
Hf1 Hf 0.500 0.500 0.500
Nb1 Nb 0.000 0.500 0.500
Ga1 Ga 0.500 0.500 0.000

# TbTe, optimized geometry, DFT PBEsol
# - N(E_F): 0.559 states/eV per atom
# - E_tot: -11.226 eV per cell
# - ΔE_f (raw): -1.345 eV/atom
data_TbTe
_cell_length_a 4.0453
_cell_length_b 4.0453
_cell_length_c 4.0104
_cell_angle_alpha 90.00
_cell_angle_beta 90.00
_cell_angle_gamma 120.00
_space_group_name_H-M_alt 'P -6 m 2'
_space_group_IT_number 187
_space_group_name_Hall 'P -6 2'
loop_
_atom_site_label
_atom_site_type_symbol
_atom_site_fract_x
_atom_site_fract_y
_atom_site_fract_z
Tb1 Tb 0.0000 0.0000 0.0000
Te1 Te 0.6667 0.3333 0.5000

# CeDyFe4, optimized geometry, DFT PBEsol
# - N(E_F): 1.242 states/eV per atom
# - E_tot: -190.950 eV per cell
data_CeDyFe4
_cell_length_a 7.095
_cell_length_b 7.095
_cell_length_c 7.095
_cell_angle_alpha 90.00
_cell_angle_beta 90.00
_cell_angle_gamma 90.00
_space_group_name_H-M_alt 'F -4 3 m'
_space_group_IT_number 216
_space_group_name_Hall 'F -4 2 3'
loop_
_atom_site_label
_atom_site_type_symbol
_atom_site_fract_x
_atom_site_fract_y
_atom_site_fract_z
Ce1 Ce 0.000 0.000 0.000
Dy1 Dy 0.250 0.250 0.750
Fe1 Fe 0.125 0.125 0.375

# Ba2SrCa, optimized geometry, DFT PBEsol
# - N(E_F): 1.117 states/eV per atom
# - ΔE to the lowest computed polymorph: 2 meV per atom
# - E_tot: -16.398 eV per cell
data_Ba2SrCa
_cell_length_a 8.102
_cell_length_b 13.123
_cell_length_c 4.059
_cell_angle_alpha 90.00
_cell_angle_beta 108.26
_cell_angle_gamma 90.00
_space_group_name_H-M_alt 'C 1 2/m 1'
_space_group_IT_number 12
loop_
_space_group_symop_operation_xyz
'x,y,z'
'-x,-y,-z'
'-x,y,-z'
'x,-y,z'
'x+1/2,y+1/2,z'
'-x+1/2,-y+1/2,-z'
'-x+1/2,y+1/2,-z'
'x+1/2,-y+1/2,z'
loop_
_atom_site_label
_atom_site_type_symbol
_atom_site_fract_x
_atom_site_fract_y
_atom_site_fract_z
Ba1 Ba 0.250 0.250 0.000
Sr1 Sr 0.000 0.000 0.500
Ca1 Ca 0.000 0.500 0.500

# Li2TiFeO4, optimized geometry, DFT PBEsol
# - N(E_F): 0.290 states/eV per atom
# - ΔE to the lowest computed polymorph: 4 meV per atom
# - E_tot: -119.469 eV per cell
# - ΔE_f (raw): -2.190 eV/atom
data_Li2TiFeO4
_cell_length_a 4.001
_cell_length_b 4.001
_cell_length_c 8.483
_cell_angle_alpha 90.00
_cell_angle_beta 90.00
_cell_angle_gamma 90.00
_space_group_name_H-M_alt 'I -4 m 2'
_space_group_IT_number 119
_space_group_name_Hall 'I -4 -2'
loop_
_atom_site_label
_atom_site_type_symbol
_atom_site_fract_x
_atom_site_fract_y
_atom_site_fract_z
Li1 Li 0.000 0.000 0.000
Li2 Li 0.000 0.500 0.250
Ti1 Ti 0.000 0.000 0.500
Fe1 Fe 0.000 0.500 0.750
O1 O 0.000 0.000 0.262
O2 O 0.000 0.500 0.004

# Be2Rh, optimized geometry, DFT PBEsol
# - N(E_F): 0.190 states/eV per atom
# - E_tot: -70.965 eV per cell
data_Be2Rh
_cell_length_a 7.448
_cell_length_b 3.519
_cell_length_c 4.646
_cell_angle_alpha 90.00
_cell_angle_beta 105.71
_cell_angle_gamma 90.00
_space_group_name_H-M_alt 'C 1 2/m 1'
_space_group_IT_number 12
loop_
_space_group_symop_operation_xyz
'x,y,z'
'-x,-y,-z'
'-x,y,-z'
'x,-y,z'
'x+1/2,y+1/2,z'
'-x+1/2,-y+1/2,-z'
'-x+1/2,y+1/2,-z'
'x+1/2,-y+1/2,z'
loop_
_atom_site_label
_atom_site_type_symbol
_atom_site_fract_x
_atom_site_fract_y
_atom_site_fract_z
Be1 Be 0.000 0.000 0.000
Be2 Be 0.000 0.000 0.500
Be3 Be 0.185 0.500 0.326
Rh1 Rh 0.133 0.500 0.798

# SrZn2Co, optimized geometry, DFT PBEsol
# - N(E_F): 0.552 states/eV per atom
# - E_tot: -12.015 eV per cell
data_SrZn2Co
_cell_length_a 3.280
_cell_length_b 3.280
_cell_length_c 6.857
_cell_angle_alpha 90.00
_cell_angle_beta 90.00
_cell_angle_gamma 90.00
_space_group_name_H-M_alt 'P 4 m m'
_space_group_IT_number 99
loop_
_space_group_symop_operation_xyz
'x,y,z'
'-y,x,z'
'-x,-y,z'
'y,-x,z'
'-x,y,z'
'y,x,z'
'x,-y,z'
'-y,-x,z'
loop_
_atom_site_label
_atom_site_type_symbol
_atom_site_fract_x
_atom_site_fract_y
_atom_site_fract_z
Sr1 Sr 0.000 0.000 0.000
Zn1 Zn 0.000 0.000 0.562
Zn2 Zn 0.500 0.500 0.342
Co1 Co 0.500 0.500 0.687

# Y2HgBr, optimized geometry, DFT PBEsol
# - N(E_F): 0.727 states/eV per atom
# - ΔE to the lowest computed polymorph: 123 meV per atom
# - E_tot: -37.950 eV per cell
# - ΔE_f (raw): -0.723 eV/atom
data_Y2HgBr
_cell_length_a 3.664
_cell_length_b 3.863
_cell_length_c 14.688
_cell_angle_alpha 90.00
_cell_angle_beta 90.00
_cell_angle_gamma 90.00
_space_group_name_H-M_alt 'I m m 2'
_space_group_IT_number 44
loop_
_space_group_symop_operation_xyz
'x,y,z'
'-x,-y,z'
'-x,y,z'
'x,-y,z'
'x+1/2,y+1/2,z+1/2'
'-x+1/2,-y+1/2,z+1/2'
'-x+1/2,y+1/2,z+1/2'
'x+1/2,-y+1/2,z+1/2'
loop_
_atom_site_label
_atom_site_type_symbol
_atom_site_fract_x
_atom_site_fract_y
_atom_site_fract_z
Y1 Y 0.000 0.000 0.000
Y2 Y 0.000 0.500 0.250
Hg1 Hg 0.000 0.000 0.405
Br1 Br 0.000 0.500 0.658

# Rh2PbI, optimized geometry, DFT PBEsol
# - N(E_F): 1.182 states/eV per atom
# - E_tot: -81.837 eV per cell
# - ΔE_f (raw): 0.396 eV/atom
data_Rh2PbI
_cell_length_a 6.685
_cell_length_b 6.685
_cell_length_c 6.685
_cell_angle_alpha 90.00
_cell_angle_beta 90.00
_cell_angle_gamma 90.00
_space_group_name_H-M_alt 'F m -3 m'
_space_group_IT_number 225
_space_group_name_Hall '-F 4 2 3'
loop_
_atom_site_label
_atom_site_type_symbol
_atom_site_fract_x
_atom_site_fract_y
_atom_site_fract_z
Rh1 Rh 0.250 0.250 0.250
Pb1 Pb 0.000 0.000 0.000
I1 I 0.000 0.000 0.500

# Ba2Zn3F10, optimized geometry, DFT PBEsol
# - N(E_F): 0.000 states/eV per atom
# - E_tot: -290.369 eV per cell
# - ΔE_f (raw): -2.952 eV/atom
data_Ba2Zn3F10
_cell_length_a 18.659
_cell_length_b 6.000
_cell_length_c 7.829
_cell_angle_alpha 90.00
_cell_angle_beta 111.40
_cell_angle_gamma 90.00
_space_group_name_H-M_alt 'C 1 2/m 1'
_space_group_IT_number 12
loop_
_space_group_symop_operation_xyz
'x,y,z'
'-x,-y,-z'
'-x,y,-z'
'x,-y,z'
'x+1/2,y+1/2,z'
'-x+1/2,-y+1/2,-z'
'-x+1/2,y+1/2,-z'
'x+1/2,-y+1/2,z'
loop_
_atom_site_label
_atom_site_type_symbol
_atom_site_fract_x
_atom_site_fract_y
_atom_site_fract_z
Ba1 Ba 0.115 0.000 0.221
Ba2 Ba 0.220 0.000 0.814
Zn1 Zn 0.000 0.242 0.500
Zn2 Zn 0.075 0.500 0.954
Zn3 Zn 0.176 0.500 0.522
F1 F 0.000 0.274 0.000
F2 F 0.015 0.000 0.689
F3 F 0.020 0.500 0.681
F4 F 0.113 0.234 0.532
F5 F 0.135 0.500 0.247
F6 F 0.150 0.259 0.976
F7 F 0.238 0.500 0.787
F8 F 0.250 0.250 0.500